The following is a PBE calculation of an optimized crystal structure of Yb3Ga9Pt2, from Alexandria.

Unit cell a=8.176 b=8.176 c=8.176 alpha=149.54 beta=107.15 gamma=80.97
Site moments in Bohr magnetons follow the coordinates.
Atoms (fractional coordinates):
Ga 0.476 0.843 0.633  0.00
Yb 0.500 0.500 0.000  0.22
Ga 0.083 0.364 0.720  0.00
Pt 0.813 0.000 0.813  0.00
Pt 0.187 0.000 0.187  0.00
Ga 0.790 0.157 0.633  0.00
Ga 0.000 0.500 0.500  0.00
Ga 0.356 0.636 0.720  0.00
Yb 0.800 0.800 0.000  -0.18
Ga 0.210 0.843 0.367  0.00
Ga 0.524 0.157 0.367  0.00
Ga 0.644 0.364 0.280  0.00
Ga 0.917 0.636 0.280  0.00
Yb 0.200 0.200 0.000  -0.18

Total DFT energy (no corrections), eV per atom: -3.7636
SG: Immm (71)
Formation enthalpy at 0 K, meV/atom: -628